(1)
DFT (GGA-PBE) results for a relaxed structure of NaIrRh2.

Unit cell a=4.4166 b=4.4166 c=4.4166 alpha=60.00 beta=60.00 gamma=60.00
Last column: nearest neighbours and their distance in Å.
Fractional positions:
Rh 0.2500 0.2500 0.2500  4 Na 2.70, 4 Ir 2.70
Rh 0.7500 0.7500 0.7500  4 Ir 2.70, 4 Na 2.70
Ir 0.5000 0.5000 0.5000  8 Rh 2.70
Na 0.0000 0.0000 0.0000  8 Rh 2.70

Values from the calculation:
For the density of states at the Fermi level, the calculation gives 5.23 states/eV/cell. The energy of formation from the pure elements comes out at 0.474 eV/atom. The uncorrected energy is -22.985 eV for the cell shown.


(2)
DFT (GGA-PBE) results for a relaxed structure of BaCaI2.

Unit cell a=7.6122 b=7.6122 c=9.3139 alpha=65.88 beta=65.88 gamma=90.00
Last column: nearest neighbours and their distance in Å.
Fractional positions:
Ca 0.5000 0.5000 0.0000  4 I 3.10
Ca 0.2500 0.7500 0.5000  4 I 3.10
Ba 0.0000 0.0000 0.0000  4 I 3.51
Ba 0.7500 0.2500 0.5000  4 I 3.51
I 0.1713 0.6250 0.2500  2 Ca 3.10
I 0.3750 0.4213 0.7500  2 Ca 3.10
I 0.8750 0.8287 0.7500  2 Ca 3.10
I 0.5787 0.1250 0.2500  2 Ca 3.10

Values from the calculation:
For the density of states at the Fermi level, the calculation gives 3.31 states/eV/cell. The formation energy (no corrections) is -0.929 eV/atom. The uncorrected energy is -21.483 eV for the cell shown.


(3)
DFT (GGA-PBE) results for a relaxed structure of Li2SmSiGe2.

Unit cell a=4.1258 b=7.8366 c=7.4782 alpha=90.00 beta=90.00 gamma=90.00
Last column: nearest neighbours and their distance in Å.
Fractional positions:
Si 0.5000 0.2401 0.6600  3 Ge 2.40-2.48
Si 0.5000 0.7401 0.3400  3 Ge 2.40-2.48
Sm 0.0000 0.5032 0.5325  6 Ge 3.06-3.33, 4 Si 3.07-3.13, 1 Li 3.16
Sm 0.0000 0.0032 0.4675  6 Ge 3.06-3.33, 4 Si 3.07-3.13, 1 Li 3.16
Li 0.5000 0.0048 0.0846  1 Ge 2.79, 1 Si 2.82, 2 Li 2.99
Li 0.5000 0.5048 0.9154  1 Ge 2.79, 1 Si 2.82, 2 Li 2.99
Li 0.0000 0.3392 0.1460  4 Ge 2.57-2.78
Li 0.0000 0.8392 0.8540  4 Ge 2.57-2.78
Ge 0.0000 0.1941 0.8383  2 Si 2.48, 1 Li 2.57
Ge 0.5000 0.2641 0.3405  1 Si 2.40, 2 Li 2.59
Ge 0.0000 0.6941 0.1617  2 Si 2.48, 1 Li 2.57
Ge 0.5000 0.7641 0.6595  1 Si 2.40, 2 Li 2.59

Values from the calculation:
For the density of states at the Fermi level, the calculation gives 4.45 states/eV/cell. The formation energy (no corrections) is -0.417 eV/atom. The uncorrected energy is -51.408 eV for the cell shown.


(4)
DFT (GGA-PBE) results for a relaxed structure of FeP2Ir.

Unit cell a=3.7936 b=3.6827 c=4.1510 alpha=95.99 beta=90.00 gamma=90.00
Last column: nearest neighbours and their distance in Å.
Fractional positions:
Fe 0.5000 0.2500 0.2500  4 P 2.29
P 0.0000 0.9434 0.0680  1 P 2.18, 2 Fe 2.29, 2 Ir 2.38
P 0.0000 0.5566 0.4320  1 P 2.18, 2 Fe 2.29, 2 Ir 2.38
Ir 0.5000 0.7500 0.7500  4 P 2.38, 2 Fe 2.63

Values from the calculation:
For the density of states at the Fermi level, the calculation gives 3.18 states/eV/cell. The energy of formation from the pure elements comes out at -0.045 eV/atom. The uncorrected energy is -28.322 eV for the cell shown.


(5)
DFT (GGA-PBE) results for a relaxed structure of CdTeAu.

Unit cell a=6.9666 b=6.7879 c=3.3664 alpha=78.80 beta=72.90 gamma=28.30
Last column: nearest neighbours and their distance in Å.
Fractional positions:
Au 0.9909 0.9909 0.0091  2 Cd 2.78, 2 Te 3.03
Te 0.6594 0.6594 0.3406  2 Au 3.03, 2 Cd 3.24, 4 Te 3.37
Cd 0.3498 0.3498 0.6502  2 Au 2.78

Values from the calculation:
For the density of states at the Fermi level, the calculation gives 1.16 states/eV/cell. The formation energy (no corrections) is 0.112 eV/atom. The uncorrected energy is -6.998 eV for the cell shown.


(6)
DFT (GGA-PBE) results for a relaxed structure of K2NiAs.

Unit cell a=6.1845 b=6.1845 c=2.8814 alpha=90.00 beta=90.00 gamma=90.00
Last column: nearest neighbours and their distance in Å.
Fractional positions:
K 0.0000 0.0000 0.0000  2 K 2.88
K 0.5000 0.5000 0.0000  2 K 2.88
Ni 0.5000 0.0000 0.5000  2 Ni 2.88
As 0.0000 0.5000 0.5000  2 As 2.88

Values from the calculation:
For the density of states at the Fermi level, the calculation gives 6.23 states/eV/cell. The energy of formation from the pure elements comes out at 0.459 eV/atom. The uncorrected energy is -10.790 eV for the cell shown.


(7)
DFT (GGA-PBE) results for a relaxed structure of Sc2Ni2Pb.

Unit cell a=4.7131 b=4.7131 c=5.4779 alpha=64.52 beta=64.52 gamma=90.00
Last column: nearest neighbours and their distance in Å.
Fractional positions:
Sc 0.7500 0.2500 0.5000  4 Ni 2.59
Sc 0.2500 0.7500 0.5000  4 Ni 2.59
Pb 0.0000 0.0000 0.0000  8 Sc 3.21, 10 Ni 3.24-3.51
Ni 0.6271 0.6271 0.7458  1 Ni 2.21
Ni 0.3729 0.3729 0.2542  1 Ni 2.21

Values from the calculation:
For the density of states at the Fermi level, the calculation gives 2.24 states/eV/cell. The energy of formation from the pure elements comes out at -0.240 eV/atom. The uncorrected energy is -29.133 eV for the cell shown.


(8)
DFT (GGA-PBE) results for a relaxed structure of OsSeN3.

Unit cell a=3.7074 b=3.7074 c=3.7074 alpha=90.00 beta=90.00 gamma=90.00
Last column: nearest neighbours and their distance in Å.
Fractional positions:
N 0.5000 0.0000 0.0000  2 Se 1.85
N 0.0000 0.0000 0.5000  2 Se 1.85
N 0.0000 0.5000 0.0000  2 Se 1.85
Os 0.5000 0.5000 0.5000  12 N 2.62
Se 0.0000 0.0000 0.0000  6 N 1.85

Values from the calculation:
For the density of states at the Fermi level, the calculation gives 2.34 states/eV/cell. The formation energy (no corrections) is 2.451 eV/atom. The uncorrected energy is -27.435 eV for the cell shown.


These records have size of the total moment values of 1.993 1.749 0.000 1.582 0.000 0.988 0.000 0.000 μB per formula unit, in the order they appear.